Computed, not measured: Co4IrPt after structural relaxation at the GGA-PBE level of DFT.

```
Co4IrPt
1.0
4.0804 0.0001 0.0002
-2.0400 4.2295 1.2202
0.0004 0.0857 8.8095
Co Ir Pt
8 2 2
direct
0.9586 0.4174 0.2077 Co
0.5414 0.5826 0.2923 Co
0.0414 0.5826 0.7923 Co
0.4586 0.4174 0.7077 Co
0.2922 0.0843 0.5416 Co
0.2078 0.9157 0.9584 Co
0.7078 0.9157 0.4584 Co
0.7922 0.0843 0.0416 Co
0.5000 0.5000 0.0000 Ir
0.0000 0.5000 0.5000 Ir
0.2500 0.0000 0.2500 Pt
0.7500 0.0000 0.7500 Pt
```

N(E_F) ... 5.3 states/eV/f.u.
DFT formation energy ... 0.03 eV/atom